Entry 1:
Here is a geometry-optimized Pm4Pr3Tm5 structure from the Alexandria database. Energies are from GGA-PBE.

The structure in POSCAR format:
```
Pm4Pr3Tm5
1.0
6.228 0.000 0.000
0.013 7.192 0.000
0.008 0.005 8.814
Pm Pr Tm
4 3 5
Direct
0.169 0.000 0.329
0.330 0.750 0.668
0.670 0.250 0.332
0.831 0.000 0.671
0.331 0.251 0.667
0.500 0.500 0.000
0.669 0.749 0.333
0.001 0.749 0.000
0.165 0.500 0.330
0.500 0.000 0.000
0.835 0.500 0.670
0.999 0.251 0.000
```

Output
DOS at the Fermi energy in states/eV/cell: 15.510
Energy of formation from the pure elements in meV/atom: 19
Calculated total energy in eV per atom: -4.622
ΔE to the lowest computed polymorph in eV/atom: 0.000
SG: P-1 (2)

Entry 2:
Here is a geometry-optimized KBiS3 structure from the Alexandria database. Energies are from GGA-PBE.

The structure in POSCAR format:
```
KBiS3
1.0
5.303 0.000 0.000
0.000 5.303 0.000
0.000 0.000 5.303
K Bi S
1 1 3
Direct
0.000 0.000 0.000
0.500 0.500 0.500
0.000 0.000 0.500
0.000 0.500 0.000
0.500 0.000 0.000
```

Output
DOS at the Fermi energy in states/eV/cell: 4.546
E_form (uncorrected) in eV/f.u.: 4.995
Calculated total energy in eV per atom: -2.473
ΔE to the lowest computed polymorph in eV/atom: 1.159
SG: Pm-3m (221)

Entry 3:
Here is a geometry-optimized Al2SiCl structure from the Alexandria database. Energies are from GGA-PBE.

The structure in POSCAR format:
```
Al2SiCl
1.0
2.995 0.000 0.000
0.000 3.374 0.000
0.000 0.000 7.141
Al Si Cl
2 1 1
Direct
0.000 0.000 0.213
0.000 0.000 0.787
0.500 0.500 0.000
0.500 0.500 0.500
```

Output
DOS at the Fermi energy in states/eV/cell: 1.057
E_form (uncorrected) in eV/f.u.: 0.363
Calculated total energy in eV per atom: -3.598
ΔE to the lowest computed polymorph in eV/atom: 0.131
SG: Pmmm (47)

Entry 4:
Here is a geometry-optimized PrLuNiIr structure from the Alexandria database. Energies are from GGA-PBE.

The structure in POSCAR format:
```
PrLuNiIr
1.0
6.901 0.000 0.000
0.000 6.901 0.000
0.000 0.000 6.901
Pr Lu Ni Ir
4 4 4 4
Direct
0.000 0.000 0.000
0.000 0.500 0.500
0.500 0.000 0.500
0.500 0.500 0.000
0.000 0.000 0.500
0.000 0.500 0.000
0.500 0.000 0.000
0.500 0.500 0.500
0.250 0.250 0.750
0.250 0.750 0.250
0.750 0.250 0.250
0.750 0.750 0.750
0.250 0.250 0.250
0.250 0.750 0.750
0.750 0.250 0.750
0.750 0.750 0.250
```

Output
DOS at the Fermi energy in states/eV/cell: 10.551
Energy of formation from the pure elements in meV/atom: -528
Calculated total energy in eV per atom: -6.514
SG: F-43m (216)

Entry 5:
Here is a geometry-optimized NaGaN2 structure from the Alexandria database. Energies are from GGA-PBE.

The structure in POSCAR format:
```
NaGaN2
1.0
3.490 0.000 0.000
-1.745 3.023 0.000
0.000 0.000 20.353
Na Ga N
3 3 6
Direct
0.000 0.000 0.000
0.333 0.667 0.667
0.667 0.333 0.333
0.000 0.000 0.500
0.333 0.667 0.167
0.667 0.333 0.833
0.000 0.000 0.412
0.000 0.000 0.588
0.333 0.667 0.079
0.333 0.667 0.254
0.667 0.333 0.746
0.667 0.333 0.921
```

Output
DOS at the Fermi energy in states/eV/cell: 4.401
E_form (uncorrected) in eV/f.u.: 3.957
Calculated total energy in eV per atom: -4.260
SG: R-3m (166)

Entry 6:
Here is a geometry-optimized SmRe2N5 structure from the Alexandria database. Energies are from GGA-PBE.

The structure in POSCAR format:
```
SmRe2N5
1.0
-2.861 2.861 5.373
2.861 -2.861 5.373
2.861 2.861 -5.373
Sm Re N
2 4 10
Direct
0.250 0.250 0.000
0.750 0.750 0.000
0.154 0.654 0.807
0.346 0.154 0.500
0.654 0.846 0.500
0.846 0.346 0.193
0.000 0.000 0.000
0.026 0.233 0.500
0.233 0.733 0.207
0.267 0.474 0.500
0.474 0.974 0.207
0.500 0.500 0.000
0.526 0.026 0.793
0.733 0.526 0.500
0.767 0.267 0.793
0.974 0.767 0.500
```

Output
DOS at the Fermi energy in states/eV/cell: 1.634
E_form (uncorrected) in eV/f.u.: -0.383
Calculated total energy in eV per atom: -8.953
SG: I4/mcm (140)

Entry 7:
Here is a geometry-optimized SrTl5Br7 structure from the Alexandria database. Energies are from GGA-PBE.

The structure in POSCAR format:
```
SrTl5Br7
1.0
8.094 -2.220 0.000
8.094 2.220 0.000
-0.019 0.000 27.790
Sr Tl Br
2 10 14
Direct
0.000 0.000 0.000
0.587 0.587 0.500
0.073 0.073 0.324
0.076 0.076 0.679
0.246 0.246 0.101
0.249 0.249 0.902
0.338 0.338 0.402
0.341 0.341 0.601
0.511 0.511 0.179
0.514 0.514 0.824
0.791 0.791 0.252
0.795 0.795 0.752
0.003 0.003 0.435
0.005 0.005 0.567
0.156 0.156 0.210
0.159 0.159 0.793
0.221 0.221 0.502
0.366 0.366 0.002
0.428 0.428 0.293
0.431 0.431 0.710
0.582 0.582 0.067
0.585 0.585 0.935
0.708 0.708 0.366
0.713 0.713 0.639
0.873 0.873 0.140
0.880 0.880 0.866
```

Output
DOS at the Fermi energy in states/eV/cell: 0.000
E_form (uncorrected) in eV/f.u.: -14.737
Calculated total energy in eV per atom: -3.074
SG: Cm (8)

Entry 8:
Here is a geometry-optimized VCuAs3 structure from the Alexandria database. Energies are from GGA-PBE.

The structure in POSCAR format:
```
VCuAs3
1.0
4.708 0.000 0.000
0.000 4.708 0.000
0.000 0.000 4.708
V Cu As
1 1 3
Direct
0.000 0.000 0.000
0.500 0.500 0.500
0.000 0.000 0.500
0.000 0.500 0.000
0.500 0.000 0.000
```

Output
DOS at the Fermi energy in states/eV/cell: 4.397
Energy of formation from the pure elements in meV/atom: 462
Calculated total energy in eV per atom: -4.971
ΔE to the lowest computed polymorph in eV/atom: 0.000
SG: Pm-3m (221)

Entry 9:
Here is a geometry-optimized CdAg3Ir structure from the Alexandria database. Energies are from GGA-PBE.

The structure in POSCAR format:
```
CdAg3Ir
1.0
5.075 0.000 0.000
0.000 5.075 0.000
0.000 0.000 5.075
Cd Ag Ir
1 3 1
Direct
0.000 0.000 0.000
0.000 0.500 0.500
0.500 0.000 0.500
0.500 0.500 0.000
0.500 0.500 0.500
```

Output
DOS at the Fermi energy in states/eV/cell: 5.452
Energy of formation from the pure elements in meV/atom: 1031
Calculated total energy in eV per atom: -2.635
ΔE to the lowest computed polymorph in eV/atom: 0.000
SG: Pm-3m (221)

Entry 10:
Here is a geometry-optimized Pm4ErGe4 structure from the Alexandria database. Energies are from GGA-PBE.

The structure in POSCAR format:
```
Pm4ErGe4
1.0
9.047 0.000 0.000
0.000 9.047 0.000
0.000 0.000 6.060
Pm Er Ge
8 2 8
Direct
0.052 0.670 0.120
0.170 0.948 0.620
0.330 0.552 0.620
0.448 0.830 0.120
0.552 0.170 0.880
0.670 0.448 0.380
0.830 0.052 0.380
0.948 0.330 0.880
0.250 0.250 0.250
0.750 0.750 0.750
0.014 0.629 0.611
0.129 0.986 0.111
0.371 0.514 0.111
0.486 0.871 0.611
0.514 0.129 0.389
0.629 0.486 0.889
0.871 0.014 0.889
0.986 0.371 0.389
```

Output
DOS at the Fermi energy in states/eV/cell: 17.897
Energy of formation from the pure elements in meV/atom: -600
Calculated total energy in eV per atom: -5.271
SG: P4_2/n (86)

Q: Number 2 is which compound?
A: KBiS3

Q: Which value of calculated total energy does entry 1 give?
A: -4.622 eV per atom

Q: The highest DOS at the Fermi energy belongs to which entry?
A: Pm4ErGe4

Q: Among the records above, which one has the lowest calculated total energy?
A: SmRe2N5